No. 1
! CrPO4, optimized geometry, DFT PBE+U; values from VASP
! Size of the total moment = 24.000 Bohr magnetons per cell
! Volume = 77.9 Å³/f.u.
! DFT total energy = -7.533 eV/atom
! DOS(E_F) = 0.000 states/eV per cell
&SYSTEM
  ibrav = 0, nat = 48, ntyp = 3
/
ATOMIC_SPECIES
Cr 52.00 Cr.upf
P 30.97 P.upf
O 16.00 O.upf
CELL_PARAMETERS angstrom
-2.807 5.275 -10.004
-1.693 -4.884 -2.100
-8.868 1.530 3.295
ATOMIC_POSITIONS angstrom
Cr -8.351 -2.495 -0.427
Cr -4.719 -1.753 -4.932
Cr -11.656 1.606 -4.210
Cr -7.988 2.280 -8.588
Cr -5.380 -0.360 -0.221
Cr -1.712 0.315 -4.599
Cr -8.649 3.674 -3.877
Cr -5.017 4.416 -8.383
P -10.587 -1.110 -2.642
P -5.478 -3.145 -1.881
P -8.643 1.453 -5.334
P -4.894 1.974 -9.420
P -8.475 -0.053 0.611
P -4.725 0.467 -3.475
P -7.891 5.066 -6.929
P -2.781 3.031 -6.167
O -5.376 1.621 0.219
O -9.930 1.719 -9.125
O -1.458 1.827 -3.270
O -4.405 -1.096 -6.884
O -8.980 -0.028 -5.165
O -9.435 -1.575 -1.823
O -5.584 1.157 -10.512
O -4.899 -2.532 -3.107
O -10.599 0.458 -2.822
O -5.072 -2.362 -0.571
O -9.928 2.336 -4.853
O -6.035 2.589 -8.430
O -8.295 1.788 -6.772
O -9.113 -1.401 1.035
O -3.918 1.129 -8.621
O -5.759 -0.138 -4.460
O -7.610 2.059 -4.350
O -9.450 0.791 -0.188
O -4.255 3.321 -9.844
O -5.073 0.132 -2.037
O -7.333 -0.668 -0.379
O -3.440 -0.416 -3.956
O -8.296 4.283 -8.238
O -2.769 1.462 -5.987
O -8.470 4.453 -5.702
O -7.784 0.763 1.703
O -3.934 3.496 -6.986
O -4.388 1.948 -3.644
O -8.963 3.017 -1.926
O -11.910 0.093 -5.539
O -3.438 0.201 0.315
O -7.993 0.299 -9.028



No. 2
! CrP2O2, optimized geometry, DFT PBE+U; values from VASP
! Size of the total moment = 3.226 Bohr magnetons per cell
! Volume = 61.9 Å³/f.u.
! DFT total energy = -5.152 eV/atom
! DOS(E_F) = 1.808 states/eV per cell
&SYSTEM
  ibrav = 0, nat = 5, ntyp = 3
/
ATOMIC_SPECIES
Cr 52.00 Cr.upf
O 16.00 O.upf
P 30.97 P.upf
CELL_PARAMETERS angstrom
3.881 0.000 0.000
0.000 3.881 0.000
0.000 0.000 4.110
ATOMIC_POSITIONS angstrom
Cr 1.940 1.940 2.055
O 0.000 0.000 0.000
O 0.000 0.000 2.055
P 0.000 1.940 0.000
P 1.940 0.000 0.000